Entry 1:
This record from the Alexandria database describes a geometry-optimized RbP2PbO8 structure. The functional is PBE.

Unit cell a=5.1109 b=5.1109 c=8.7622 alpha=90.00 beta=90.00 gamma=120.00
Each line ends with the local moment (μB).
Element x y z (fractional)
O: 0.3631 0.3033 0.3466  0.07
O: 0.6967 0.0598 0.3466  0.07
O: 0.0598 0.3631 0.6534  0.07
O: 0.3033 0.9402 0.6534  0.07
O: 0.6667 0.3333 0.1160  0.24
O: 0.3333 0.6667 0.8840  0.24
O: 0.6369 0.6967 0.6534  0.07
O: 0.9402 0.6369 0.3466  0.07
Rb: 0.0000 0.0000 0.0000  0.00
Pb: 0.0000 0.0000 0.5000  -0.01
P: 0.6667 0.3333 0.2908  -0.01
P: 0.3333 0.6667 0.7092  -0.01

- final energy (eV/cell) = -75.934
- V (Å³ per cell) = 198

---

Entry 2:
This record from the Alexandria database describes a geometry-optimized Tb4MgSc2 structure. The functional is PBE.

Unit cell a=3.4296 b=8.4342 c=16.0689 alpha=85.02 beta=115.26 gamma=101.73
Element x y z (fractional)
Tb: 0.1867 0.3734 0.2500
Tb: 0.8133 0.6266 0.7500
Tb: 0.3614 0.3019 0.8553
Tb: 0.5000 0.0000 0.5000
Tb: 0.0595 0.6981 0.3553
Tb: 0.9405 0.3019 0.6447
Tb: 0.6386 0.6981 0.1447
Tb: 0.5000 0.0000 0.0000
Sc: 0.0818 0.3515 0.4530
Sc: 0.7302 0.6484 0.9530
Sc: 0.9182 0.6484 0.5470
Sc: 0.2698 0.3515 0.0470
Mg: 0.4941 0.9882 0.7500
Mg: 0.5059 0.0118 0.2500

- energy above the lowest structure with this stoichiometry (meV/atom) = 2
- final energy (eV/cell) = -63.934
- energy of formation (meV per atom) = 116
- V (Å³ per cell) = 412

---

Entry 3:
This record from the Alexandria database describes a geometry-optimized Al3CoS structure. The functional is PBE.

Unit cell a=4.4931 b=4.4931 c=4.4931 alpha=90.00 beta=90.00 gamma=90.00
Element x y z (fractional)
Co: 0.0000 0.0000 0.0000
Al: 0.5000 0.0000 0.0000
Al: 0.0000 0.5000 0.0000
Al: 0.0000 0.0000 0.5000
S: 0.5000 0.5000 0.5000

- energy above the lowest structure with this stoichiometry (meV/atom) = 0
- final energy (eV/cell) = -22.378
- V (Å³ per cell) = 91

---

Entry 4:
This record from the Alexandria database describes a geometry-optimized MnCo2As structure. The functional is PBE.

Unit cell a=4.0267 b=4.0267 c=4.0267 alpha=60.00 beta=60.00 gamma=60.00
Each line ends with the local moment (μB).
Element x y z (fractional)
Mn: 0.7500 0.7500 0.7500  1.14
As: 0.5000 0.5000 0.5000  -0.02
Co: 0.2500 0.2500 0.2500  0.91
Co: 0.0000 0.0000 0.0000  1.34

- final energy (eV/cell) = -27.776
- energy of formation (meV per atom) = 64
- V (Å³ per cell) = 46